1.
Material: LiTe3W
Method: DFT, PBE
State: optimized geometry

Properties
As for the density of states at the Fermi level: 0.772 states/eV/atom.

Structure (CIF):
```
data_LiTe3W
_chemical_formula_sum 'Li1 Te3 W1'
_symmetry_space_group_name_H-M 'P m -3 m'
_symmetry_Int_Tables_number 221
_symmetry_space_group_name_Hall '-P 4 2 3'
_cell_length_a 4.957
_cell_length_b 4.957
_cell_length_c 4.957
_cell_angle_alpha 90.00
_cell_angle_beta 90.00
_cell_angle_gamma 90.00
loop_
_atom_site_label
_atom_site_fract_x
_atom_site_fract_y
_atom_site_fract_z
Li1 0.000 0.000 0.000
Te1 0.000 0.000 0.500
W1 0.500 0.500 0.500
```


2.
Material: LiTe3W
Method: DFT, PBE
State: optimized geometry

Properties
As for the density of states at the Fermi level: 0.936 states/eV/atom.

Structure (CIF):
```
data_LiTe3W
_chemical_formula_sum 'Li1 Te3 W1'
_symmetry_space_group_name_H-M 'P m -3 m'
_symmetry_Int_Tables_number 221
_symmetry_space_group_name_Hall '-P 4 2 3'
_cell_length_a 5.390
_cell_length_b 5.390
_cell_length_c 5.390
_cell_angle_alpha 90.00
_cell_angle_beta 90.00
_cell_angle_gamma 90.00
loop_
_atom_site_label
_atom_site_fract_x
_atom_site_fract_y
_atom_site_fract_z
Li1 0.000 0.000 0.000
Te1 0.000 0.500 0.500
W1 0.500 0.500 0.500
```


Stability verdict: 2, ahead by 0.743 eV/atom


1.
Material: LiY3Te4
Method: DFT, PBE
State: optimized geometry

Properties
As for the density of states at the Fermi level: 0.335 states/eV/atom.

Structure (CIF):
```
data_LiY3Te4
_chemical_formula_sum 'Li2 Y6 Te8'
_symmetry_space_group_name_H-M 'I 4/m m m'
_symmetry_Int_Tables_number 139
_symmetry_space_group_name_Hall '-I 4 2'
_cell_length_a 6.147
_cell_length_b 6.147
_cell_length_c 12.276
_cell_angle_alpha 90.00
_cell_angle_beta 90.00
_cell_angle_gamma 90.00
loop_
_atom_site_label
_atom_site_fract_x
_atom_site_fract_y
_atom_site_fract_z
Li1 0.000 0.000 0.000
Y1 0.000 0.000 0.500
Y2 0.000 0.500 0.250
Te1 0.000 0.000 0.243
Te2 0.000 0.500 0.000
```


2.
Material: LiY3Te4
Method: DFT, PBE
State: optimized geometry

Properties
As for the density of states at the Fermi level: 0.383 states/eV/atom.

Structure (CIF):
```
data_LiY3Te4
_chemical_formula_sum 'Li2 Y6 Te8'
_symmetry_space_group_name_H-M 'P m n 21'
_symmetry_Int_Tables_number 31
_cell_length_a 9.851
_cell_length_b 8.929
_cell_length_c 6.116
_cell_angle_alpha 90.00
_cell_angle_beta 90.00
_cell_angle_gamma 90.00
loop_
_symmetry_equiv_pos_as_xyz
'x,y,z'
'-x+1/2,-y,z+1/2'
'-x,y,z'
'x+1/2,-y,z+1/2'
loop_
_atom_site_label
_atom_site_fract_x
_atom_site_fract_y
_atom_site_fract_z
Li1 0.000 0.100 0.000
Y1 0.000 0.748 0.494
Y2 0.211 0.342 0.494
Te1 0.000 0.093 0.495
Te2 0.000 0.780 0.994
Te3 0.200 0.333 0.994
```


Stability verdict: 1, ahead by 0.160 eV/atom


1.
Material: LiYTe3
Method: DFT, PBE
State: optimized geometry

Properties
As for the density of states at the Fermi level: 0.945 states/eV/atom.

Structure (CIF):
```
data_LiYTe3
_chemical_formula_sum 'Li1 Y1 Te3'
_symmetry_space_group_name_H-M 'P m -3 m'
_symmetry_Int_Tables_number 221
_symmetry_space_group_name_Hall '-P 4 2 3'
_cell_length_a 5.142
_cell_length_b 5.142
_cell_length_c 5.142
_cell_angle_alpha 90.00
_cell_angle_beta 90.00
_cell_angle_gamma 90.00
loop_
_atom_site_label
_atom_site_fract_x
_atom_site_fract_y
_atom_site_fract_z
Li1 0.000 0.000 0.000
Y1 0.500 0.500 0.500
Te1 0.000 0.000 0.500
```


2.
Material: LiYTe3
Method: DFT, PBE
State: optimized geometry

Properties
As for the density of states at the Fermi level: 1.542 states/eV/atom.

Structure (CIF):
```
data_LiYTe3
_chemical_formula_sum 'Li1 Y1 Te3'
_symmetry_space_group_name_H-M 'P m -3 m'
_symmetry_Int_Tables_number 221
_symmetry_space_group_name_Hall '-P 4 2 3'
_cell_length_a 5.887
_cell_length_b 5.887
_cell_length_c 5.887
_cell_angle_alpha 90.00
_cell_angle_beta 90.00
_cell_angle_gamma 90.00
loop_
_atom_site_label
_atom_site_fract_x
_atom_site_fract_y
_atom_site_fract_z
Li1 0.000 0.000 0.000
Y1 0.500 0.500 0.500
Te1 0.000 0.500 0.500
```


Stability verdict: 2, ahead by 0.113 eV/atom


1.
Material: Li3YTe
Method: DFT, PBE
State: optimized geometry

Properties
As for the density of states at the Fermi level: 0.813 states/eV/atom.

Structure (CIF):
```
data_Li3YTe
_chemical_formula_sum 'Li3 Y1 Te1'
_symmetry_space_group_name_H-M 'P m -3 m'
_symmetry_Int_Tables_number 221
_symmetry_space_group_name_Hall '-P 4 2 3'
_cell_length_a 5.078
_cell_length_b 5.078
_cell_length_c 5.078
_cell_angle_alpha 90.00
_cell_angle_beta 90.00
_cell_angle_gamma 90.00
loop_
_atom_site_label
_atom_site_fract_x
_atom_site_fract_y
_atom_site_fract_z
Li1 0.000 0.000 0.500
Y1 0.500 0.500 0.500
Te1 0.000 0.000 0.000
```


2.
Material: Li3YTe
Method: DFT, PBE
State: optimized geometry

Properties
As for the density of states at the Fermi level: 1.065 states/eV/atom.

Structure (CIF):
```
data_Li3YTe
_chemical_formula_sum 'Li3 Y1 Te1'
_symmetry_space_group_name_H-M 'P m -3 m'
_symmetry_Int_Tables_number 221
_symmetry_space_group_name_Hall '-P 4 2 3'
_cell_length_a 5.554
_cell_length_b 5.554
_cell_length_c 5.554
_cell_angle_alpha 90.00
_cell_angle_beta 90.00
_cell_angle_gamma 90.00
loop_
_atom_site_label
_atom_site_fract_x
_atom_site_fract_y
_atom_site_fract_z
Li1 0.000 0.000 0.500
Y1 0.000 0.000 0.000
Te1 0.500 0.500 0.500
```


Stability verdict: 1, ahead by 0.889 eV/atom


1.
Material: LiY2Te2
Method: DFT, PBE
State: optimized geometry

Properties
As for the density of states at the Fermi level: 0.457 states/eV/atom.

Structure (CIF):
```
data_LiY2Te2
_chemical_formula_sum 'Li2 Y4 Te4'
_symmetry_space_group_name_H-M 'P 4/m b m'
_symmetry_Int_Tables_number 127
_symmetry_space_group_name_Hall '-P 4 2ab'
_cell_length_a 8.132
_cell_length_b 8.132
_cell_length_c 4.061
_cell_angle_alpha 90.00
_cell_angle_beta 90.00
_cell_angle_gamma 90.00
loop_
_atom_site_label
_atom_site_fract_x
_atom_site_fract_y
_atom_site_fract_z
Li1 0.000 0.000 0.000
Y1 0.149 0.351 0.500
Te1 0.152 0.652 0.000
```


2.
Material: LiY2Te2
Method: DFT, PBE
State: optimized geometry

Properties
As for the density of states at the Fermi level: 0.532 states/eV/atom.

Structure (CIF):
```
data_LiY2Te2
_chemical_formula_sum 'Li2 Y4 Te4'
_symmetry_space_group_name_H-M 'P 4/m b m'
_symmetry_Int_Tables_number 127
_symmetry_space_group_name_Hall '-P 4 2ab'
_cell_length_a 8.406
_cell_length_b 8.406
_cell_length_c 3.964
_cell_angle_alpha 90.00
_cell_angle_beta 90.00
_cell_angle_gamma 90.00
loop_
_atom_site_label
_atom_site_fract_x
_atom_site_fract_y
_atom_site_fract_z
Li1 0.000 0.000 0.000
Y1 0.146 0.354 0.000
Te1 0.153 0.653 0.500
```


Stability verdict: 1, ahead by 0.187 eV/atom


1.
Material: LiZnTe
Method: DFT, PBE
State: optimized geometry

Properties
As for the density of states at the Fermi level: 0.320 states/eV/atom.

Structure (CIF):
```
data_LiZnTe
_chemical_formula_sum 'Li4 Zn4 Te4'
_symmetry_space_group_name_H-M 'F m m 2'
_symmetry_Int_Tables_number 42
_symmetry_space_group_name_Hall 'F 2 -2'
_cell_length_a 4.037
_cell_length_b 5.281
_cell_length_c 12.544
_cell_angle_alpha 90.00
_cell_angle_beta 90.00
_cell_angle_gamma 90.00
loop_
_atom_site_label
_atom_site_fract_x
_atom_site_fract_y
_atom_site_fract_z
Li1 0.000 0.000 0.000
Zn1 0.000 0.000 0.343
Te1 0.000 0.000 0.666
```


2.
Material: LiZnTe
Method: DFT, PBE
State: optimized geometry

Properties
As for the density of states at the Fermi level: 0.256 states/eV/atom.

Structure (CIF):
```
data_LiZnTe
_chemical_formula_sum 'Li1 Zn1 Te1'
_symmetry_space_group_name_H-M 'P 3 m 1'
_symmetry_Int_Tables_number 156
_cell_length_a 4.2947
_cell_length_b 4.2947
_cell_length_c 4.2204
_cell_angle_alpha 90.00
_cell_angle_beta 90.00
_cell_angle_gamma 120.00
loop_
_symmetry_equiv_pos_as_xyz
'x,y,z'
'-y,x-y,z'
'-x+y,-x,z'
'-y,-x,z'
'-x+y,y,z'
'x,x-y,z'
loop_
_atom_site_label
_atom_site_fract_x
_atom_site_fract_y
_atom_site_fract_z
Li1 0.0000 0.0000 0.0000
Zn1 0.6667 0.3333 0.6677
Te1 0.3333 0.6667 0.3634
```


Stability verdict: 2, ahead by 0.174 eV/atom


1.
Material: Li2ZnTe
Method: DFT, PBE
State: optimized geometry

Properties
As for the density of states at the Fermi level: 0.344 states/eV/atom.

Structure (CIF):
```
data_Li2ZnTe
_chemical_formula_sum 'Li4 Zn2 Te2'
_symmetry_space_group_name_H-M 'C m m m'
_symmetry_Int_Tables_number 65
_symmetry_space_group_name_Hall '-C 2 2'
_cell_length_a 5.146
_cell_length_b 5.159
_cell_length_c 6.002
_cell_angle_alpha 90.00
_cell_angle_beta 90.00
_cell_angle_gamma 90.00
loop_
_atom_site_label
_atom_site_fract_x
_atom_site_fract_y
_atom_site_fract_z
Li1 0.000 0.000 0.244
Zn1 0.000 0.500 0.500
Te1 0.000 0.500 0.000
```


2.
Material: Li2ZnTe
Method: DFT, PBE
State: optimized geometry

Properties
As for the density of states at the Fermi level: 0.233 states/eV/atom.

Structure (CIF):
```
data_Li2ZnTe
_chemical_formula_sum 'Li2 Zn1 Te1'
_symmetry_space_group_name_H-M 'P 4 m m'
_symmetry_Int_Tables_number 99
_cell_length_a 4.386
_cell_length_b 4.386
_cell_length_c 3.979
_cell_angle_alpha 90.00
_cell_angle_beta 90.00
_cell_angle_gamma 90.00
loop_
_symmetry_equiv_pos_as_xyz
'x,y,z'
'-y,x,z'
'-x,-y,z'
'y,-x,z'
'-x,y,z'
'y,x,z'
'x,-y,z'
'-y,-x,z'
loop_
_atom_site_label
_atom_site_fract_x
_atom_site_fract_y
_atom_site_fract_z
Li1 0.000 0.500 0.000
Zn1 0.000 0.000 0.541
Te1 0.500 0.500 0.486
```


Stability verdict: 2, ahead by 0.115 eV/atom